1.
Crystalline YLuPdAu at its relaxed geometry. Source: Alexandria, functional PBE-GGA.

## Properties
energy relative to the elements	-85.46	kJ/mol of atoms

Structure (CIF):
```
data_YLuPdAu
_chemical_formula_sum 'Y1 Lu1 Pd1 Au1'
_space_group_name_H-M_alt 'P 1'
_space_group_IT_number 1
_cell_length_a 4.984
_cell_length_b 4.984
_cell_length_c 4.984
_cell_angle_alpha 60.00
_cell_angle_beta 60.00
_cell_angle_gamma 60.00
loop_
_space_group_symop_operation_xyz
'x,y,z'
loop_
_atom_site_label
_atom_site_type_symbol
_atom_site_fract_x
_atom_site_fract_y
_atom_site_fract_z
_atom_site_occupancy
Pd1 Pd 0.500 0.500 0.500 1
Lu1 Lu 0.250 0.250 0.250 1
Y1 Y 0.750 0.750 0.750 1
Au1 Au 0.000 0.000 0.000 1
```

=====

2.
Crystalline Pa2VH6 at its relaxed geometry. Source: Alexandria, functional PBE-GGA.

## Properties
energy	-50.2	eV per formula unit

Structure (CIF):
```
data_Pa2VH6
_chemical_formula_sum 'Pa4 V2 H12'
_space_group_name_H-M_alt 'P 1'
_space_group_IT_number 1
_cell_length_a 5.575
_cell_length_b 4.544
_cell_length_c 7.162
_cell_angle_alpha 90.00
_cell_angle_beta 103.30
_cell_angle_gamma 90.00
loop_
_space_group_symop_operation_xyz
'x,y,z'
loop_
_atom_site_label
_atom_site_type_symbol
_atom_site_fract_x
_atom_site_fract_y
_atom_site_fract_z
_atom_site_occupancy
Pa1 Pa 0.996 0.500 0.766 1
Pa2 Pa 0.496 0.000 0.266 1
Pa3 Pa 0.504 0.000 0.734 1
Pa4 Pa 0.004 0.500 0.234 1
H1 H 0.910 0.000 0.243 1
H2 H 0.259 0.762 0.475 1
H3 H 0.241 0.738 0.026 1
H4 H 0.410 0.500 0.743 1
H5 H 0.241 0.262 0.025 1
H6 H 0.759 0.738 0.975 1
H7 H 0.741 0.762 0.526 1
H8 H 0.590 0.500 0.257 1
H9 H 0.741 0.238 0.525 1
H10 H 0.090 0.000 0.757 1
H11 H 0.759 0.262 0.974 1
H12 H 0.259 0.238 0.474 1
V1 V 0.000 0.000 0.500 1
V2 V 0.500 0.500 0.000 1
```

=====

Repeat the first record exactly.
Crystalline YLuPdAu at its relaxed geometry. Source: Alexandria, functional PBE-GGA.

## Properties
energy relative to the elements	-85.46	kJ/mol of atoms

Structure (CIF):
```
data_YLuPdAu
_chemical_formula_sum 'Y1 Lu1 Pd1 Au1'
_space_group_name_H-M_alt 'P 1'
_space_group_IT_number 1
_cell_length_a 4.984
_cell_length_b 4.984
_cell_length_c 4.984
_cell_angle_alpha 60.00
_cell_angle_beta 60.00
_cell_angle_gamma 60.00
loop_
_space_group_symop_operation_xyz
'x,y,z'
loop_
_atom_site_label
_atom_site_type_symbol
_atom_site_fract_x
_atom_site_fract_y
_atom_site_fract_z
_atom_site_occupancy
Pd1 Pd 0.500 0.500 0.500 1
Lu1 Lu 0.250 0.250 0.250 1
Y1 Y 0.750 0.750 0.750 1
Au1 Au 0.000 0.000 0.000 1
```

=====

Copy entry 2 word for word.
Crystalline Pa2VH6 at its relaxed geometry. Source: Alexandria, functional PBE-GGA.

## Properties
energy	-50.2	eV per formula unit

Structure (CIF):
```
data_Pa2VH6
_chemical_formula_sum 'Pa4 V2 H12'
_space_group_name_H-M_alt 'P 1'
_space_group_IT_number 1
_cell_length_a 5.575
_cell_length_b 4.544
_cell_length_c 7.162
_cell_angle_alpha 90.00
_cell_angle_beta 103.30
_cell_angle_gamma 90.00
loop_
_space_group_symop_operation_xyz
'x,y,z'
loop_
_atom_site_label
_atom_site_type_symbol
_atom_site_fract_x
_atom_site_fract_y
_atom_site_fract_z
_atom_site_occupancy
Pa1 Pa 0.996 0.500 0.766 1
Pa2 Pa 0.496 0.000 0.266 1
Pa3 Pa 0.504 0.000 0.734 1
Pa4 Pa 0.004 0.500 0.234 1
H1 H 0.910 0.000 0.243 1
H2 H 0.259 0.762 0.475 1
H3 H 0.241 0.738 0.026 1
H4 H 0.410 0.500 0.743 1
H5 H 0.241 0.262 0.025 1
H6 H 0.759 0.738 0.975 1
H7 H 0.741 0.762 0.526 1
H8 H 0.590 0.500 0.257 1
H9 H 0.741 0.238 0.525 1
H10 H 0.090 0.000 0.757 1
H11 H 0.759 0.262 0.974 1
H12 H 0.259 0.238 0.474 1
V1 V 0.000 0.000 0.500 1
V2 V 0.500 0.500 0.000 1
```